VASP calculation (PBE) on a relaxed structure of ScSbC2.

```
ScSbC2
1.0
-0.279 -5.095 1.182
5.156 -0.069 0.922
1.641 -1.485 5.592
Sc Sb C
2 2 4
direct
0.500 0.500 0.000
0.250 0.750 0.500
0.000 0.000 0.000
0.750 0.250 0.500
0.639 0.125 0.250
0.111 0.625 0.250
0.875 0.889 0.750
0.375 0.361 0.750
```

Summary:
crystal system	tetragonal
DOS(E_F)	0.00	states/eV/cell
total energy	-6.722	eV/atom
M_tot	0.00	Bohr magnetons per cell
space-group type	I-42d

***

VASP calculation (PBE) on a relaxed structure of Sm2Sc2Sb2C.

```
Sm2Sc2Sb2C
1.0
4.523 0.000 0.000
0.000 4.523 0.000
-2.261 -2.261 8.024
Sb C Sm Sc
2 1 2 2
direct
0.634 0.634 0.269
0.366 0.366 0.731
0.000 0.000 0.000
0.837 0.837 0.675
0.163 0.163 0.325
0.500 0.000 0.000
0.000 0.500 0.000
```

Summary:
crystal system	tetragonal
DOS(E_F)	6.76	states/eV/cell
total energy	-6.600	eV/atom
M_tot	0.06	Bohr magnetons per cell
space-group type	I4/mmm

***

VASP calculation (PBE) on a relaxed structure of Sc2SnSbC.

```
Sc2SnSbC
1.0
4.637 0.000 0.000
0.000 4.661 0.000
0.000 0.000 4.637
Sn Sb Sc C
1 1 2 1
direct
0.500 0.500 0.500
0.000 0.500 0.000
0.000 0.000 0.500
0.500 0.000 0.000
0.000 0.000 0.000
```

Summary:
crystal system	tetragonal
DOS(E_F)	3.21	states/eV/cell
total energy	-6.188	eV/atom
M_tot	0.00	Bohr magnetons per cell
space-group type	P4/mmm

***

VASP calculation (PBE) on a relaxed structure of Sc4SnSbC.

```
Sc4SnSbC
1.0
6.320 0.000 0.000
0.000 6.317 0.000
-3.160 0.000 7.444
Sc Sn Sb C
8 2 2 2
direct
0.096 0.750 0.193
0.000 0.000 0.500
0.904 0.250 0.807
0.597 0.250 0.194
0.403 0.750 0.806
0.500 0.500 0.500
0.000 0.500 0.500
0.500 0.000 0.500
0.105 0.250 0.211
0.895 0.750 0.789
0.605 0.750 0.211
0.395 0.250 0.789
0.750 0.250 0.500
0.250 0.750 0.500
```

Summary:
crystal system	orthorhombic
DOS(E_F)	9.09	states/eV/cell
total energy	-6.901	eV/atom
M_tot	0.00	Bohr magnetons per cell
space-group type	Cmcm